# NiAs2CF, optimized geometry, DFT PBE with a Hubbard U
# total energy	-18.231	eV per cell
# calculated volume	66.5	Å³ per cell
# crystal system	tetragonal
# D(E_F)	2.7	states/eV/f.u.
data_NiAs2CF
_cell_length_a 4.358
_cell_length_b 4.358
_cell_length_c 3.499
_cell_angle_alpha 90.00
_cell_angle_beta 90.00
_cell_angle_gamma 90.00
_symmetry_space_group_name_H-M 'P 4/m m m'
_symmetry_Int_Tables_number 123
_symmetry_space_group_name_Hall '-P 4 2'
loop_
_atom_site_label
_atom_site_type_symbol
_atom_site_fract_x
_atom_site_fract_y
_atom_site_fract_z
Ni1 Ni 0.000 0.000 0.000
As1 As 0.000 0.500 0.500
C1 C 0.500 0.500 0.500
F1 F 0.500 0.500 0.000